Entry from Alexandria via LeMat-Bulk: crystalline Rb2PuCoO6 at its relaxed geometry (PBE+U).

a b c (Å): 5.298 6.295 6.295
angles (deg): 120.00 90.00 90.00
Fractional positions:
Rb: 0.338 0.333 0.667
Rb: 0.662 0.667 0.333
Pu: 0.000 0.000 0.000
Co: 0.500 0.000 0.000
O: 0.738 0.136 0.272
O: 0.738 0.136 0.864
O: 0.738 0.728 0.864
O: 0.262 0.864 0.136
O: 0.262 0.272 0.136
O: 0.262 0.864 0.728

Computed properties:
Crystal system: trigonal
E_tot, eV/atom: -6.883
M_tot, μB/atom: 0.100